CeTmSeO2: optimized geometry, PBE.

Calculated values
density	7.25	g/cm³
uncorrected formation energy	-15.1	eV per formula unit

Unit cell a=6.553 b=4.013 c=7.713 alpha=90.00 beta=108.45 gamma=90.00
Sites, in units of the cell vectors:
Ce1 0.200 0.250 0.433
Ce2 0.800 0.750 0.567
Tm1 0.170 0.250 0.919
Tm2 0.830 0.750 0.081
Se1 0.451 0.750 0.756
Se2 0.549 0.250 0.244
O1 0.011 0.750 0.885
O2 0.018 0.750 0.374
O3 0.982 0.250 0.626
O4 0.989 0.250 0.115

CeUSeO2: optimized geometry, PBE.

Calculated values
density	8.77	g/cm³
uncorrected formation energy	-13.1	eV per formula unit

Unit cell a=6.741 b=6.741 c=6.741 alpha=146.56 beta=146.56 gamma=48.02
Sites, in units of the cell vectors:
Ce1 0.000 0.000 0.000
U1 0.292 0.292 0.000
Se1 0.649 0.649 0.000
O1 0.392 0.892 0.500
O2 0.892 0.392 0.500

> Which of these has the highest density?

CeUSeO2